Here is a relaxed Rb3TiO3 crystal from the Alexandria database. Energies are from PBE.

Geometry as POSCAR:
```
Rb3TiO3
1.0
10.9825 0.0000 0.0000
0.0000 3.5494 0.0000
0.0000 0.0000 21.3298
Rb Ti O
12 4 12
Cartesian
0.6476 0.8873 3.6668
1.0536 2.6620 13.7773
2.3083 2.6620 20.0493
3.1830 0.8873 9.3845
4.4376 0.8873 3.1124
4.8437 2.6620 14.3317
6.1388 0.8873 6.9981
6.5448 2.6620 18.2173
7.7995 2.6620 11.9453
8.6742 0.8873 1.2804
9.9288 0.8873 7.5524
10.3349 2.6620 17.6630
2.4914 2.6620 6.2713
2.9998 0.8873 16.9362
7.9826 2.6620 4.3936
8.4911 0.8873 15.0585
1.5500 0.8873 17.9554
1.6445 0.8873 6.5965
2.6180 0.8873 15.2074
2.8732 2.6620 4.5425
3.8468 2.6620 17.2614
3.9412 2.6620 7.2906
7.0413 0.8873 14.0392
7.1357 0.8873 4.0684
8.1093 0.8873 16.7872
8.3644 2.6620 6.1223
9.3380 2.6620 14.7333
9.4324 2.6620 3.3743
```

Properties
Uncorrected formation energy, meV per atom: -1950.8
Density, g/cm³: 2.81
Energy above the lowest structure with this stoichiometry, meV per atom: 0

Here is a relaxed RbTi2O crystal from the Alexandria database. Energies are from PBE.

Geometry as POSCAR:
```
RbTi2O
1.0
0.0000 4.6364 4.6364
4.6364 0.0000 4.6364
4.6364 4.6364 0.0000
Rb Ti O
2 4 2
Cartesian
1.1591 1.1591 1.1591
8.1138 8.1138 8.1138
4.6364 2.3182 2.3182
2.3182 4.6364 2.3182
2.3182 2.3182 4.6364
4.6364 4.6364 4.6364
3.4773 3.4773 3.4773
5.7956 5.7956 5.7956
```

Properties
Uncorrected formation energy, meV per atom: -509.4
Density, g/cm³: 3.29

Here is a relaxed Rb4TiO4 crystal from the Alexandria database. Energies are from PBE.

Geometry as POSCAR:
```
Rb4TiO4
1.0
7.0509 0.0000 0.0000
3.4608 6.3164 0.0000
2.7827 0.0394 9.1577
Rb Ti O
8 2 8
Cartesian
1.0337 1.4419 0.4858
3.6771 1.7899 5.8508
5.9372 4.8888 5.0406
5.8377 4.5614 1.2580
7.4568 1.7944 7.8997
7.3572 1.4670 4.1171
9.6173 4.5659 3.3069
12.2608 4.9139 8.6720
4.1867 1.6082 2.2897
9.1078 4.7476 6.8680
2.8408 0.5773 3.0456
3.4425 2.7392 1.0293
7.7841 5.7998 7.6375
4.9376 2.7248 3.5586
8.3569 3.6310 5.5991
5.5104 0.5560 1.5202
9.8520 3.6166 8.1284
10.4536 5.7785 6.1121
```

Properties
Uncorrected formation energy, meV per atom: -2017.0
Density, g/cm³: 3.69
Energy above the lowest structure with this stoichiometry, meV per atom: 0